Entry from Alexandria via LeMat-Bulk: a geometry-optimized K2AgBiCl6 structure (GGA-PBEsol). Values from VASP.

- Total magnetization: 0.00 μB/f.u.
- Fermi-level density of states: 0.0 states/eV/f.u.
- Raw formation energy: -1.240 eV/atom

Quantum ESPRESSO input file:
```
&SYSTEM
  ibrav = 0, nat = 10, ntyp = 4
/
ATOMIC_SPECIES
Ag 107.87 Ag.upf
K 39.10 K.upf
Cl 35.45 Cl.upf
Bi 208.98 Bi.upf
CELL_PARAMETERS angstrom
-4.113 0.378 -6.239
-5.794 -4.638 -0.948
-6.994 2.644 0.283
ATOMIC_POSITIONS angstrom
Ag -8.450 -0.808 -3.452
K -4.225 -0.404 -1.726
K -12.676 -1.212 -5.178
Cl -7.140 -2.698 -2.216
Cl -6.310 -0.223 -4.827
Cl -9.169 -2.511 -5.295
Cl -10.591 -1.393 -2.076
Cl -9.761 1.081 -4.687
Cl -7.732 0.895 -1.609
Bi 0.000 0.000 0.000
```